[1]
HfZr2Ti: optimized geometry, PBE.

a = 5.4353 Å, b = 5.4353 Å, c = 5.4353 Å
α = 132.30°, β = 132.30°, γ = 69.75°
Last column: nearest neighbours and their distance in Å.
Fractional positions:
Hf 0.0000 0.0000 0.0000  8 Zr 3.11-3.13, 4 Ti 3.13
Zr 0.5000 0.5000 0.0000  4 Hf 3.11, 4 Zr 3.13, 4 Ti 3.13
Zr 0.7500 0.2500 0.5000  4 Ti 3.11, 4 Hf 3.13, 4 Zr 3.13
Ti 0.2500 0.7500 0.5000  8 Zr 3.11-3.13, 4 Hf 3.13

Properties
- Symmetry: I-4m2
- DFT formation energy: 0.32 eV per formula unit
- Energy: -8.66 eV/atom
- Spin magnetization: 0.00 μB/cell
- Excess energy over the best structure of this formula in the dataset: 0 meV/atom

---

[2]
HfZr6Ti: optimized geometry, PBE.

a = 5.7242 Å, b = 5.7242 Å, c = 5.7242 Å
α = 97.26°, β = 97.26°, γ = 97.26°
Last column: nearest neighbours and their distance in Å.
Fractional positions:
Hf 0.0000 0.0000 0.0000  12 Zr 3.17-3.28
Zr 0.0409 0.2647 0.5500  1 Ti 2.86, 4 Zr 2.91-3.10, 1 Hf 3.17
Zr 0.2647 0.5500 0.0409  1 Ti 2.86, 4 Zr 2.91-3.10, 1 Hf 3.17
Zr 0.4500 0.9591 0.7353  1 Ti 2.86, 4 Zr 2.91-3.10, 1 Hf 3.17
Zr 0.5500 0.0409 0.2647  1 Ti 2.86, 4 Zr 2.91-3.10, 1 Hf 3.17
Zr 0.7353 0.4500 0.9591  1 Ti 2.86, 4 Zr 2.91-3.10, 1 Hf 3.17
Zr 0.9591 0.7353 0.4500  1 Ti 2.86, 4 Zr 2.91-3.10, 1 Hf 3.17
Ti 0.5000 0.5000 0.5000  6 Zr 2.86

Properties
- Symmetry: R-3
- DFT formation energy: 1.02 eV per formula unit
- Energy: -8.51 eV/atom
- Spin magnetization: 1.54 μB/cell
- Excess energy over the best structure of this formula in the dataset: 103 meV/atom